No. 1
A plane-wave DFT calculation with GGA-PBE was carried out for a relaxed Na2Ca3PuO6 crystal.

Final energy, eV/atom: -7.0210
SG: No. 12
N(E_F), states/eV/cell: 3.1

a b c (Å): 5.9186 5.9186 5.8743
angles (deg): 99.76 99.76 119.77
With the nearest neighbours (Å) after each atom.
Fractional coordinates of all 12 atoms:
1 Na 0.6661 0.3339 0.0000  6 O 2.48-2.50
2 Na 0.3339 0.6661 0.0000  6 O 2.48-2.50
3 Ca 0.1727 0.8273 0.5000  6 O 2.34-2.48
4 Ca 0.5000 0.5000 0.5000  6 O 2.33-2.60
5 Ca 0.8273 0.1727 0.5000  6 O 2.34-2.48
6 Pu 0.0000 0.0000 0.0000  6 O 2.23-2.30
7 O 0.9150 0.6086 0.7446  1 Pu 2.30, 3 Ca 2.33-2.48, 2 Na 2.50
8 O 0.6086 0.9150 0.7446  1 Pu 2.30, 3 Ca 2.33-2.48, 2 Na 2.50
9 O 0.2175 0.2175 0.7557  1 Pu 2.23, 2 Ca 2.40, 2 Na 2.48
10 O 0.0850 0.3914 0.2554  1 Pu 2.30, 3 Ca 2.33-2.48, 2 Na 2.50
11 O 0.3914 0.0850 0.2554  1 Pu 2.30, 3 Ca 2.33-2.48, 2 Na 2.50
12 O 0.7825 0.7825 0.2443  1 Pu 2.23, 2 Ca 2.40, 2 Na 2.48



No. 2
A plane-wave DFT calculation with GGA-PBE was carried out for a relaxed Na2BeF4 crystal.

Final energy, eV/atom: -4.9776
SG: No. 11
N(E_F), states/eV/cell: 0.0

a b c (Å): 5.2362 5.5450 6.2885
angles (deg): 90.00 107.77 90.00
With the nearest neighbours (Å) after each atom.
Fractional coordinates of all 14 atoms:
1 Na 0.2115 0.2500 0.4270  4 F 2.28-2.41
2 Na 0.3205 0.2500 0.9664  6 F 2.29-2.45
3 Na 0.6795 0.7500 0.0336  6 F 2.29-2.45
4 Na 0.7885 0.7500 0.5730  4 F 2.28-2.41
5 F 0.4400 0.9736 0.2507  1 Be 1.57
6 F 0.9494 0.2500 0.6572  1 Be 1.55
7 F 0.0892 0.7500 0.9453  1 Be 1.57
8 F 0.5600 0.4736 0.7493  1 Be 1.57
9 F 0.0506 0.7500 0.3428  1 Be 1.55
10 F 0.5600 0.0264 0.7493  1 Be 1.57
11 F 0.4400 0.5264 0.2507  1 Be 1.57
12 F 0.9108 0.2500 0.0547  1 Be 1.57
13 Be 0.2464 0.7500 0.2017  4 F 1.55-1.57
14 Be 0.7536 0.2500 0.7983  4 F 1.55-1.57



No. 3
A plane-wave DFT calculation with GGA-PBE was carried out for a relaxed Nd2DyCu2Ge2 crystal.

Final energy, eV/atom: -5.0132
Energy of formation, eV/atom: -0.504
SG: No. 166
N(E_F), states/eV/cell: 5.3

a b c (Å): 4.2560 4.2560 10.6227
angles (deg): 78.44 78.44 60.00
With the nearest neighbours (Å) after each atom.
Fractional coordinates of all 7 atoms:
1 Ge 0.2734 0.2734 0.1797  3 Cu 2.46
2 Ge 0.7266 0.7266 0.8203  3 Cu 2.46
3 Dy 0.0000 0.0000 0.0000  6 Cu 3.00, 6 Ge 3.08
4 Cu 0.3890 0.3890 0.8330  3 Ge 2.46
5 Cu 0.6110 0.6110 0.1670  3 Ge 2.46
6 Nd 0.8795 0.8795 0.3615  3 Ge 3.09, 3 Cu 3.17
7 Nd 0.1205 0.1205 0.6385  3 Ge 3.09, 3 Cu 3.17



No. 4
A plane-wave DFT calculation with GGA-PBE was carried out for a relaxed CsBe2Mo2 crystal.

Final energy, eV/atom: -4.8078
Energy of formation, eV/atom: 1.186
SG: No. 127
N(E_F), states/eV/cell: 8.6

a b c (Å): 8.1956 8.1956 2.8399
angles (deg): 90.00 90.00 90.00
With the nearest neighbours (Å) after each atom.
Fractional coordinates of all 10 atoms:
1 Be 0.6555 0.1555 0.0000  4 Mo 2.61, 2 Be 2.84
2 Be 0.3445 0.8445 0.0000  4 Mo 2.61, 2 Be 2.84
3 Be 0.8445 0.6555 0.0000  4 Mo 2.61, 2 Be 2.84
4 Be 0.1555 0.3445 0.0000  4 Mo 2.61, 2 Be 2.84
5 Mo 0.3935 0.1065 0.5000  1 Mo 2.47, 4 Be 2.61
6 Mo 0.8935 0.3935 0.5000  1 Mo 2.47, 4 Be 2.61
7 Mo 0.1065 0.6065 0.5000  1 Mo 2.47, 4 Be 2.61
8 Mo 0.6065 0.8935 0.5000  1 Mo 2.47, 4 Be 2.61
9 Cs 0.0000 0.0000 0.0000  2 Cs 2.84, 4 Be 3.10
10 Cs 0.5000 0.5000 0.0000  2 Cs 2.84, 4 Be 3.10